[1]
# PrTe2O8

Crystalline PrTe2O8 at its relaxed geometry (PBE, Alexandria via LeMat-Bulk).

Its formation energy without anion corrections is -1.04 eV per atom. The value obtained for the density of states at the Fermi level is 16.5 states/eV per cell. For the magnetic moment, the calculation gives 0.7 μB/f.u. The calculation puts the total energy at -124.262 eV for the cell shown.

It has space group I422 (No. 97), with a = 5.3225 Å, b = 5.3225 Å, c = 11.4413 Å, α = 90.00°, β = 90.00° and γ = 90.00°. The inequivalent atoms are Pr at (0.0000, 0.0000, 0.0000), Te at (0.0000, 0.5000, 0.2500) and O at (0.1813, 0.3081, 0.8612).


[2]
# Ce2ZnPb

Crystalline Ce2ZnPb at its relaxed geometry (PBE, Alexandria via LeMat-Bulk).

The calculation puts the formation energy at -0.235 eV/atom. The value obtained for the density of states at the Fermi level is 64.2 states/eV per cell. For the magnetic moment, the calculation gives 2.0 μB/f.u. The calculation puts the total energy at -71.162 eV for the cell shown.

It has space group Fm-3m (No. 225), with a = 7.6071 Å, b = 7.6071 Å, c = 7.6071 Å, α = 90.00°, β = 90.00° and γ = 90.00°. The inequivalent atoms are Ce at (0.2500, 0.2500, 0.2500), Zn at (0.0000, 0.0000, 0.0000) and Pb at (0.0000, 0.0000, 0.5000).


[3]
# AsCS2

Crystalline AsCS2 at its relaxed geometry (PBE, Alexandria via LeMat-Bulk).

Its formation energy without anion corrections is 0.54 eV per atom. The value obtained for the density of states at the Fermi level is 3.9 states/eV per cell. For the magnetic moment, the calculation gives 0.0 μB/f.u. The calculation puts the total energy at -39.897 eV for the cell shown.

It has space group Cm (No. 8), with a = 6.6451 Å, b = 6.1159 Å, c = 5.0150 Å, α = 90.00°, β = 106.14° and γ = 90.00°. The inequivalent atoms are As at (0.0000, 0.0000, 0.0000), C at (0.2251, 0.0000, 0.8188) and S at (0.3041, 0.2330, 0.6853).